The following is a PBE calculation of an optimized crystal structure of RbLiSbBr6, from Alexandria via LeMat-Bulk.

Results
Density of states at the Fermi level   6.52 states/eV/f.u.
E_form (uncorrected)   -985 meV/atom

a b c (Å): 7.1271 7.1271 7.7272
angles (deg): 90.00 90.00 120.00
Space group P312 (No. 149)
Inequivalent atoms, fractional coordinates:
Rb 0.0000 0.0000 0.0000 [1 per cell]
Li 0.3333 0.6667 0.5000 [1 per cell]
Sb 0.6667 0.3333 0.5000 [1 per cell]
Br 0.3764 0.0031 0.7046 [6 per cell]